Entry 1:
## Ba2As2Se (GGA-PBE)

Data for a relaxed structure of Ba2As2Se.

Summary:
* volume: 168 Å³/cell
* total magnetization: 0.0 Bohr magnetons per cell
* symmetry: No. 139
* energy relative to the lowest polymorph listed for this composition: 19.5 kJ/mol of atoms
* D(E_F): 5.18 states/eV/cell
* formation energy without anion corrections: -0.84 eV per atom
* electronic total energy: -20.84 eV per formula unit

a = 6.298 Å, b = 6.298 Å, c = 6.145 Å
α = 59.18°, β = 59.18°, γ = 90.00°
Fractional coordinates of all 5 atoms:
Ba (0.750, 0.250, 0.500)
Ba (0.250, 0.750, 0.500)
As (0.353, 0.353, 0.295)
Se (0.000, 0.000, 0.000)
As (0.647, 0.647, 0.705)

***

Entry 2:
## CaTmBi (GGA-PBE)

Data for a relaxed structure of CaTmBi.

Summary:
* volume: 404 Å³/cell
* total magnetization: 2.9 Bohr magnetons per cell
* symmetry: No. 129
* E_form: -363 meV per atom
* D(E_F): 10.63 states/eV/cell
* electronic total energy: -11.44 eV per formula unit

a = 7.292 Å, b = 7.294 Å, c = 7.595 Å
α = 90.00°, β = 90.00°, γ = 90.00°
Site moments in Bohr magnetons follow the coordinates.
Fractional coordinates of all 12 atoms:
Ca (0.750, 0.000, 0.000)  0.04
Tm (0.250, 0.000, 0.500)  0.45
Bi (0.000, 0.250, 0.259)  -0.01
Bi (0.000, 0.750, 0.741)  -0.01
Tm (0.250, 0.500, 0.500)  0.45
Ca (0.250, 0.500, 0.000)  0.04
Tm (0.750, 0.000, 0.500)  0.45
Tm (0.750, 0.500, 0.500)  0.45
Bi (0.500, 0.750, 0.259)  -0.01
Bi (0.500, 0.250, 0.741)  -0.01
Ca (0.750, 0.500, 0.000)  0.04
Ca (0.250, 0.000, 0.000)  0.04

***

What is the total magnetization in the first record?
0.0 Bohr magnetons per cell